An optimized crystal structure of Be2NiF6, computed with GGA+U.

abc: 5.0132 5.0132 7.8886
angles: 110.93 110.93 32.91
Closest atoms and distances in Å follow each position.
Atoms (fractional coordinates):
1 Be 0.1825 0.1825 0.2114  4 F 1.53-1.63
2 Be 0.8175 0.8175 0.7886  4 F 1.53-1.63
3 Ni 0.0000 0.0000 0.5000  6 F 1.97-2.03
4 F 0.0557 0.0557 0.2837  1 Be 1.53
5 F 0.3193 0.3193 0.8838  2 Be 1.60
6 F 0.3433 0.3433 0.3823  1 Be 1.63
7 F 0.6567 0.6567 0.6177  1 Be 1.63
8 F 0.6807 0.6807 0.1162  2 Be 1.60
9 F 0.9443 0.9443 0.7163  1 Be 1.53

Output
Raw total energy (eV/atom): -5.187
Space-group type: C2/m (12)